Material: GaBiO2
Method: DFT, PBE-GGA
State: relaxed

Cell lengths 3.5276, 3.5276, 19.9476 Å; angles 90.00, 90.00, 120.00 degrees
Last column: nearest neighbours and their distance in Å.
Element x y z (fractional)
1 Ga 0.0000 0.0000 0.0000  2 O 2.04
2 Ga 0.3333 0.6667 0.6667  2 O 2.04
3 Ga 0.6667 0.3333 0.3333  2 O 2.04
4 Bi 0.0000 0.0000 0.5000  6 O 2.41
5 Bi 0.3333 0.6667 0.1667  6 O 2.41
6 Bi 0.6667 0.3333 0.8333  6 O 2.41
7 O 0.0000 0.0000 0.1024  1 Ga 2.04
8 O 0.0000 0.0000 0.8976  1 Ga 2.04
9 O 0.3333 0.6667 0.5643  1 Ga 2.04
10 O 0.3333 0.6667 0.7691  1 Ga 2.04
11 O 0.6667 0.3333 0.2309  1 Ga 2.04
12 O 0.6667 0.3333 0.4357  1 Ga 2.04

total moment: 0.00 Bohr magnetons per cell
E above lowest polymorph: 406 meV per atom
E: -60.75 eV/cell
raw formation energy: -3.4 eV/f.u.